[1]
# Pr6AgRu2 PBE-GGA optimized geometry
data_Pr6AgRu2
_symmetry_space_group_name_H-M 'P 1'
_symmetry_Int_Tables_number 1
_cell_length_a 5.7993
_cell_length_b 5.7993
_cell_length_c 9.1903
_cell_angle_alpha 98.52
_cell_angle_beta 98.52
_cell_angle_gamma 55.19
loop_
_symmetry_equiv_pos_as_xyz
'x,y,z'
loop_
_atom_site_label
_atom_site_type_symbol
_atom_site_fract_x
_atom_site_fract_y
_atom_site_fract_z
_atom_site_occupancy
Pr1 Pr 0.0423 0.0423 0.3396 1
Pr2 Pr 0.2874 0.2874 0.6634 1
Pr3 Pr 0.3455 0.3455 0.1083 1
Pr4 Pr 0.6545 0.6545 0.8917 1
Pr5 Pr 0.7126 0.7126 0.3366 1
Pr6 Pr 0.9577 0.9577 0.6604 1
Ag1 Ag 0.0000 0.0000 0.0000 1
Ru1 Ru 0.3913 0.3913 0.3990 1
Ru2 Ru 0.6087 0.6087 0.6010 1
# distance to the lowest polymorph of the same formula: 0.040 eV/atom
# density of states at the Fermi level: 7.555 states/eV/f.u.
# crystal system: monoclinic
# DFT total energy: -5.7038 eV per atom

[2]
# Pr12AgRu6 PBE-GGA optimized geometry
data_Pr12AgRu6
_symmetry_space_group_name_H-M 'P 1'
_symmetry_Int_Tables_number 1
_cell_length_a 8.8571
_cell_length_b 8.8571
_cell_length_c 8.8571
_cell_angle_alpha 109.47
_cell_angle_beta 109.47
_cell_angle_gamma 109.47
loop_
_symmetry_equiv_pos_as_xyz
'x,y,z'
loop_
_atom_site_label
_atom_site_type_symbol
_atom_site_fract_x
_atom_site_fract_y
_atom_site_fract_z
_atom_site_occupancy
Pr1 Pr 0.1025 0.2989 0.8037 1
Pr2 Pr 0.1963 0.4952 0.2989 1
Pr3 Pr 0.1963 0.8975 0.7011 1
Pr4 Pr 0.2989 0.1963 0.4952 1
Pr5 Pr 0.2989 0.8037 0.1025 1
Pr6 Pr 0.4952 0.2989 0.1963 1
Pr7 Pr 0.5048 0.7011 0.8037 1
Pr8 Pr 0.7011 0.1963 0.8975 1
Pr9 Pr 0.7011 0.8037 0.5048 1
Pr10 Pr 0.8037 0.1025 0.2989 1
Pr11 Pr 0.8037 0.5048 0.7011 1
Pr12 Pr 0.8975 0.7011 0.1963 1
Ag1 Ag 0.0000 0.0000 0.0000 1
Ru1 Ru 0.1205 0.5000 0.6205 1
Ru2 Ru 0.3795 0.8795 0.5000 1
Ru3 Ru 0.5000 0.3795 0.8795 1
Ru4 Ru 0.5000 0.6205 0.1205 1
Ru5 Ru 0.6205 0.1205 0.5000 1
Ru6 Ru 0.8795 0.5000 0.3795 1
# density of states at the Fermi level: 16.853 states/eV/f.u.
# crystal system: cubic
# DFT total energy: -6.2314 eV per atom

[3]
# Pr5Ag2Ru2 PBE-GGA optimized geometry
data_Pr5Ag2Ru2
_symmetry_space_group_name_H-M 'P 1'
_symmetry_Int_Tables_number 1
_cell_length_a 11.0234
_cell_length_b 11.0234
_cell_length_c 11.0234
_cell_angle_alpha 53.77
_cell_angle_beta 145.17
_cell_angle_gamma 140.37
loop_
_symmetry_equiv_pos_as_xyz
'x,y,z'
loop_
_atom_site_label
_atom_site_type_symbol
_atom_site_fract_x
_atom_site_fract_y
_atom_site_fract_z
_atom_site_occupancy
Pr1 Pr 0.1265 0.0231 0.6035 1
Pr2 Pr 0.1600 0.0768 0.2368 1
Pr3 Pr 0.1600 0.4232 0.5832 1
Pr4 Pr 0.4196 0.5231 0.3965 1
Pr5 Pr 0.4813 0.8029 0.0022 1
Pr6 Pr 0.4813 0.9791 0.1784 1
Pr7 Pr 0.8007 0.3029 0.8216 1
Pr8 Pr 0.8007 0.4791 0.9978 1
Pr9 Pr 0.8400 0.5768 0.4168 1
Pr10 Pr 0.8400 0.9232 0.7632 1
Ag1 Ag 0.2247 0.4050 0.9304 1
Ag2 Ag 0.2247 0.7943 0.3197 1
Ag3 Ag 0.4746 0.2943 0.0696 1
Ag4 Ag 0.4746 0.9050 0.6803 1
Ru1 Ru 0.7149 0.2149 0.5000 1
Ru2 Ru 0.7149 0.7149 0.0000 1
Ru3 Ru 0.9026 0.1875 0.2151 1
Ru4 Ru 0.9724 0.6875 0.7849 1
# distance to the lowest polymorph of the same formula: 0.046 eV/atom
# density of states at the Fermi level: 6.781 states/eV/f.u.
# crystal system: orthorhombic
# DFT total energy: -5.4973 eV per atom

[4]
# Pr6Ag2Ru PBE-GGA optimized geometry
data_Pr6Ag2Ru
_symmetry_space_group_name_H-M 'P 1'
_symmetry_Int_Tables_number 1
_cell_length_a 3.9337
_cell_length_b 8.9202
_cell_length_c 8.9202
_cell_angle_alpha 122.95
_cell_angle_beta 90.00
_cell_angle_gamma 90.00
loop_
_symmetry_equiv_pos_as_xyz
'x,y,z'
loop_
_atom_site_label
_atom_site_type_symbol
_atom_site_fract_x
_atom_site_fract_y
_atom_site_fract_z
_atom_site_occupancy
Pr1 Pr 0.0000 0.0000 0.0000 1
Pr2 Pr 0.0000 0.5342 0.7891 1
Pr3 Pr 0.0000 0.7891 0.5342 1
Pr4 Pr 0.5000 0.1906 0.7945 1
Pr5 Pr 0.5000 0.3654 0.3654 1
Pr6 Pr 0.5000 0.7945 0.1906 1
Ag1 Ag 0.0000 0.1238 0.4516 1
Ag2 Ag 0.0000 0.4516 0.1238 1
Ru1 Ru 0.5000 0.7247 0.7247 1
# distance to the lowest polymorph of the same formula: 0.000 eV/atom
# density of states at the Fermi level: 11.292 states/eV/f.u.
# crystal system: orthorhombic
# DFT total energy: -5.0128 eV per atom

[5]
# Pr6AgRu2 PBE-GGA optimized geometry
data_Pr6AgRu2
_symmetry_space_group_name_H-M 'P 1'
_symmetry_Int_Tables_number 1
_cell_length_a 8.7712
_cell_length_b 8.7712
_cell_length_c 8.7712
_cell_angle_alpha 112.19
_cell_angle_beta 110.73
_cell_angle_gamma 105.56
loop_
_symmetry_equiv_pos_as_xyz
'x,y,z'
loop_
_atom_site_label
_atom_site_type_symbol
_atom_site_fract_x
_atom_site_fract_y
_atom_site_fract_z
_atom_site_occupancy
Pr1 Pr 0.0392 0.2358 0.8034 1
Pr2 Pr 0.1811 0.2828 0.4639 1
Pr3 Pr 0.1811 0.7172 0.8983 1
Pr4 Pr 0.3272 0.0123 0.6851 1
Pr5 Pr 0.3272 0.6422 0.3149 1
Pr6 Pr 0.4324 0.2358 0.1966 1
Pr7 Pr 0.5676 0.7642 0.8034 1
Pr8 Pr 0.6728 0.3578 0.6851 1
Pr9 Pr 0.6728 0.9877 0.3149 1
Pr10 Pr 0.8189 0.2828 0.1017 1
Pr11 Pr 0.8189 0.7172 0.5361 1
Pr12 Pr 0.9608 0.7642 0.1966 1
Ag1 Ag 0.0000 0.0000 0.0000 1
Ag2 Ag 0.5000 0.5000 0.0000 1
Ru1 Ru 0.1233 0.6233 0.5000 1
Ru2 Ru 0.3247 0.0000 0.3247 1
Ru3 Ru 0.6753 0.0000 0.6753 1
Ru4 Ru 0.8767 0.3767 0.5000 1
# distance to the lowest polymorph of the same formula: 0.000 eV/atom
# density of states at the Fermi level: 8.209 states/eV/f.u.
# crystal system: orthorhombic
# DFT total energy: -5.7441 eV per atom

[6]
# Pr4AgRu2 PBE-GGA optimized geometry
data_Pr4AgRu2
_symmetry_space_group_name_H-M 'P 1'
_symmetry_Int_Tables_number 1
_cell_length_a 7.8421
_cell_length_b 7.8430
_cell_length_c 7.8436
_cell_angle_alpha 108.75
_cell_angle_beta 110.80
_cell_angle_gamma 108.84
loop_
_symmetry_equiv_pos_as_xyz
'x,y,z'
loop_
_atom_site_label
_atom_site_type_symbol
_atom_site_fract_x
_atom_site_fract_y
_atom_site_fract_z
_atom_site_occupancy
Pr1 Pr 0.0000 0.0000 0.0000 1
Pr2 Pr 0.0034 0.0088 0.5080 1
Pr3 Pr 0.1036 0.6430 0.2390 1
Pr4 Pr 0.3713 0.5026 0.6418 1
Pr5 Pr 0.4623 0.8760 0.1030 1
Pr6 Pr 0.4653 0.3769 0.1061 1
Pr7 Pr 0.6022 0.1494 0.7495 1
Pr8 Pr 0.8714 0.5077 0.6420 1
Ag1 Ag 0.6067 0.7633 0.4991 1
Ag2 Ag 0.8649 0.2570 0.2498 1
Ru1 Ru 0.0897 0.3622 0.8729 1
Ru2 Ru 0.2333 0.8574 0.7246 1
Ru3 Ru 0.3542 0.1261 0.3727 1
Ru4 Ru 0.7325 0.6498 0.0176 1
# density of states at the Fermi level: 5.207 states/eV/f.u.
# crystal system: triclinic
# DFT total energy: -5.9232 eV per atom

[7]
# Pr6Ag2Ru PBE-GGA optimized geometry
data_Pr6Ag2Ru
_symmetry_space_group_name_H-M 'P 1'
_symmetry_Int_Tables_number 1
_cell_length_a 6.7451
_cell_length_b 7.8314
_cell_length_c 12.3656
_cell_angle_alpha 90.00
_cell_angle_beta 120.11
_cell_angle_gamma 90.00
loop_
_symmetry_equiv_pos_as_xyz
'x,y,z'
loop_
_atom_site_label
_atom_site_type_symbol
_atom_site_fract_x
_atom_site_fract_y
_atom_site_fract_z
_atom_site_occupancy
Pr1 Pr 0.1222 0.1797 0.4481 1
Pr2 Pr 0.1222 0.3203 0.9481 1
Pr3 Pr 0.2874 0.6808 0.4380 1
Pr4 Pr 0.2874 0.8192 0.9380 1
Pr5 Pr 0.3751 0.0189 0.2469 1
Pr6 Pr 0.3751 0.4811 0.7469 1
Pr7 Pr 0.6249 0.5189 0.2531 1
Pr8 Pr 0.6249 0.9811 0.7531 1
Pr9 Pr 0.7126 0.1808 0.0620 1
Pr10 Pr 0.7126 0.3192 0.5620 1
Pr11 Pr 0.8778 0.6797 0.0519 1
Pr12 Pr 0.8778 0.8203 0.5519 1
Ag1 Ag 0.1762 0.1128 0.7466 1
Ag2 Ag 0.1762 0.3872 0.2466 1
Ag3 Ag 0.8238 0.6128 0.7534 1
Ag4 Ag 0.8238 0.8872 0.2534 1
Ru1 Ru 0.0000 0.0000 0.0000 1
Ru2 Ru 0.0000 0.5000 0.5000 1
# distance to the lowest polymorph of the same formula: 0.034 eV/atom
# density of states at the Fermi level: 10.103 states/eV/f.u.
# crystal system: monoclinic
# DFT total energy: -4.9792 eV per atom

[8]
# Pr5AgRu PBE-GGA optimized geometry
data_Pr5AgRu
_symmetry_space_group_name_H-M 'P 1'
_symmetry_Int_Tables_number 1
_cell_length_a 6.1743
_cell_length_b 6.1743
_cell_length_c 12.2049
_cell_angle_alpha 103.55
_cell_angle_beta 103.55
_cell_angle_gamma 75.11
loop_
_symmetry_equiv_pos_as_xyz
'x,y,z'
loop_
_atom_site_label
_atom_site_type_symbol
_atom_site_fract_x
_atom_site_fract_y
_atom_site_fract_z
_atom_site_occupancy
Pr1 Pr 0.0166 0.9834 0.7500 1
Pr2 Pr 0.0777 0.4196 0.1294 1
Pr3 Pr 0.2073 0.5471 0.4386 1
Pr4 Pr 0.4196 0.0777 0.6294 1
Pr5 Pr 0.4529 0.7927 0.0614 1
Pr6 Pr 0.5471 0.2073 0.9386 1
Pr7 Pr 0.5804 0.9223 0.3706 1
Pr8 Pr 0.7927 0.4529 0.5614 1
Pr9 Pr 0.9223 0.5804 0.8706 1
Pr10 Pr 0.9834 0.0166 0.2500 1
Ag1 Ag 0.4206 0.5794 0.7500 1
Ag2 Ag 0.5794 0.4206 0.2500 1
Ru1 Ru 0.0000 0.0000 0.0000 1
Ru2 Ru 0.0000 0.0000 0.5000 1
# density of states at the Fermi level: 7.278 states/eV/f.u.
# crystal system: monoclinic
# DFT total energy: -5.2040 eV per atom

[9]
# Pr4AgRu PBE-GGA optimized geometry
data_Pr4AgRu
_symmetry_space_group_name_H-M 'P 1'
_symmetry_Int_Tables_number 1
_cell_length_a 7.8559
_cell_length_b 7.8559
_cell_length_c 6.4521
_cell_angle_alpha 98.91
_cell_angle_beta 98.91
_cell_angle_gamma 111.82
loop_
_symmetry_equiv_pos_as_xyz
'x,y,z'
loop_
_atom_site_label
_atom_site_type_symbol
_atom_site_fract_x
_atom_site_fract_y
_atom_site_fract_z
_atom_site_occupancy
Pr1 Pr 0.0643 0.7240 0.9610 1
Pr2 Pr 0.2140 0.3766 0.5902 1
Pr3 Pr 0.2760 0.9357 0.5390 1
Pr4 Pr 0.3766 0.2140 0.0902 1
Pr5 Pr 0.6234 0.7860 0.9098 1
Pr6 Pr 0.7240 0.0643 0.4610 1
Pr7 Pr 0.7860 0.6234 0.4098 1
Pr8 Pr 0.9357 0.2760 0.0390 1
Ag1 Ag 0.3740 0.6260 0.2500 1
Ag2 Ag 0.6260 0.3740 0.7500 1
Ru1 Ru 0.0009 0.9991 0.7500 1
Ru2 Ru 0.9991 0.0009 0.2500 1
# distance to the lowest polymorph of the same formula: 0.022 eV/atom
# density of states at the Fermi level: 6.976 states/eV/f.u.
# crystal system: monoclinic
# DFT total energy: -5.3824 eV per atom

[10]
# Pr8AgRu2 PBE-GGA optimized geometry
data_Pr8AgRu2
_symmetry_space_group_name_H-M 'P 1'
_symmetry_Int_Tables_number 1
_cell_length_a 8.0560
_cell_length_b 8.0560
_cell_length_c 5.9658
_cell_angle_alpha 98.91
_cell_angle_beta 98.91
_cell_angle_gamma 114.68
loop_
_symmetry_equiv_pos_as_xyz
'x,y,z'
loop_
_atom_site_label
_atom_site_type_symbol
_atom_site_fract_x
_atom_site_fract_y
_atom_site_fract_z
_atom_site_occupancy
Pr1 Pr 0.0808 0.3347 0.5708 1
Pr2 Pr 0.2380 0.7620 0.0000 1
Pr3 Pr 0.3347 0.0808 0.5708 1
Pr4 Pr 0.3872 0.3872 0.1933 1
Pr5 Pr 0.6128 0.6128 0.8067 1
Pr6 Pr 0.6653 0.9192 0.4292 1
Pr7 Pr 0.7620 0.2380 0.0000 1
Pr8 Pr 0.9192 0.6653 0.4292 1
Ag1 Ag 0.0000 0.0000 0.0000 1
Ru1 Ru 0.2945 0.7055 0.5000 1
Ru2 Ru 0.7055 0.2945 0.5000 1
# density of states at the Fermi level: 13.704 states/eV/f.u.
# crystal system: monoclinic
# DFT total energy: -5.4798 eV per atom

[11]
# PrAgRu PBE-GGA optimized geometry
data_PrAgRu
_symmetry_space_group_name_H-M 'P 1'
_symmetry_Int_Tables_number 1
_cell_length_a 6.7476
_cell_length_b 6.7476
_cell_length_c 5.1942
_cell_angle_alpha 102.45
_cell_angle_beta 102.45
_cell_angle_gamma 37.39
loop_
_symmetry_equiv_pos_as_xyz
'x,y,z'
loop_
_atom_site_label
_atom_site_type_symbol
_atom_site_fract_x
_atom_site_fract_y
_atom_site_fract_z
_atom_site_occupancy
Pr1 Pr 0.1191 0.1191 0.3259 1
Pr2 Pr 0.8809 0.8809 0.6741 1
Ag1 Ag 0.4282 0.4282 0.2283 1
Ag2 Ag 0.5718 0.5718 0.7717 1
Ru1 Ru 0.2258 0.2258 0.8991 1
Ru2 Ru 0.7742 0.7742 0.1009 1
# density of states at the Fermi level: 2.636 states/eV/f.u.
# crystal system: monoclinic
# DFT total energy: -5.6905 eV per atom

[12]
# Pr5Ag2Ru2 PBE-GGA optimized geometry
data_Pr5Ag2Ru2
_symmetry_space_group_name_H-M 'P 1'
_symmetry_Int_Tables_number 1
_cell_length_a 8.7914
_cell_length_b 8.7914
_cell_length_c 7.9210
_cell_angle_alpha 90.00
_cell_angle_beta 90.00
_cell_angle_gamma 53.45
loop_
_symmetry_equiv_pos_as_xyz
'x,y,z'
loop_
_atom_site_label
_atom_site_type_symbol
_atom_site_fract_x
_atom_site_fract_y
_atom_site_fract_z
_atom_site_occupancy
Pr1 Pr 0.0000 0.0000 0.0000 1
Pr2 Pr 0.0449 0.7100 0.6663 1
Pr3 Pr 0.2100 0.5449 0.1663 1
Pr4 Pr 0.2900 0.9551 0.6663 1
Pr5 Pr 0.4551 0.7900 0.1663 1
Pr6 Pr 0.5000 0.5000 0.5000 1
Pr7 Pr 0.5449 0.2100 0.8337 1
Pr8 Pr 0.7100 0.0449 0.3337 1
Pr9 Pr 0.7900 0.4551 0.8337 1
Pr10 Pr 0.9551 0.2900 0.3337 1
Ag1 Ag 0.2111 0.2111 0.0000 1
Ag2 Ag 0.2889 0.2889 0.5000 1
Ag3 Ag 0.7111 0.7111 0.5000 1
Ag4 Ag 0.7889 0.7889 0.0000 1
Ru1 Ru 0.1375 0.8625 0.3625 1
Ru2 Ru 0.3625 0.6375 0.8625 1
Ru3 Ru 0.6375 0.3625 0.1375 1
Ru4 Ru 0.8625 0.1375 0.6375 1
# distance to the lowest polymorph of the same formula: 0.000 eV/atom
# density of states at the Fermi level: 5.728 states/eV/f.u.
# crystal system: orthorhombic
# DFT total energy: -5.5436 eV per atom